No. 1
Compound: Tm2S
Source: the Open Quantum Materials Database
Functional: GGA-PBE
Structure: relaxed

Computed properties:
Uncorrected energy   -4.14 eV per atom
Crystal system   cubic
SG   No. 227

```
Tm2S
1.0
0.000 4.317 4.317
4.317 0.000 4.317
4.317 4.317 0.000
Tm S
4 2
Direct
0.000 0.000 0.000
0.000 0.000 0.500
0.000 0.500 0.000
0.500 0.000 0.000
0.375 0.375 0.375
0.625 0.625 0.625
```


No. 2
Compound: Tm2S3
Source: the Open Quantum Materials Database
Functional: GGA-PBE
Structure: relaxed

Computed properties:
Uncorrected energy   -6.30 eV per atom
Crystal system   hexagonal
SG   No. 185

```
Tm2S3
1.0
6.795 0.000 0.000
-3.398 5.885 0.000
0.000 0.000 18.528
Tm S
12 18
Direct
0.000 0.000 0.000
0.000 0.000 0.203
0.000 0.000 0.500
0.000 0.000 0.703
0.333 0.667 0.166
0.333 0.667 0.364
0.333 0.667 0.666
0.333 0.667 0.864
0.667 0.333 0.166
0.667 0.333 0.364
0.667 0.333 0.666
0.667 0.333 0.864
0.000 0.300 0.105
0.000 0.336 0.432
0.000 0.369 0.762
0.000 0.631 0.262
0.000 0.664 0.932
0.000 0.700 0.605
0.300 0.000 0.105
0.300 0.300 0.605
0.336 0.000 0.432
0.336 0.336 0.932
0.369 0.000 0.762
0.369 0.369 0.262
0.631 0.000 0.262
0.631 0.631 0.762
0.664 0.000 0.932
0.664 0.664 0.432
0.700 0.000 0.605
0.700 0.700 0.105
```


No. 3
Compound: YTm2S3
Source: the Open Quantum Materials Database
Functional: GGA-PBE
Structure: relaxed

Computed properties:
Uncorrected energy   -6.58 eV per atom
Crystal system   trigonal
SG   No. 164

```
YTm2S3
1.0
3.860 0.000 0.000
-1.930 3.343 0.000
0.000 0.000 9.471
Y Tm S
1 2 3
Direct
0.000 0.000 0.000
0.333 0.667 0.665
0.667 0.333 0.335
0.000 0.000 0.500
0.333 0.667 0.173
0.667 0.333 0.827
```


| no. | magnetic moment (μB/cell) | V (Å³/atom) |
| --- | --- | --- |
| 1 | 0.0 | 26.82 |
| 2 | 0.0 | 24.70 |
| 3 | 0.0 | 20.37 |